Entry 1:
Computed, not measured: crystalline ZrTa2Be at its relaxed geometry at the PBE level of DFT.

Cell lengths 5.192, 5.192, 4.957 Å; angles 74.52, 74.52, 32.84 degrees
Fractional positions:
1 Zr 0.750 0.750 0.750
2 Ta 0.528 0.528 0.469
3 Be 0.250 0.250 0.250
4 Ta 0.972 0.972 0.031

## Properties
Theoretical density, g cm⁻³: 11.03
Magnetization, μB/cell: 0.00
Total DFT energy (no corrections), eV per cell: -35.40

Entry 2:
Computed, not measured: crystalline ZrTa2Be9 at its relaxed geometry at the PBE level of DFT.

Cell lengths 4.607, 4.607, 7.629 Å; angles 72.43, 72.43, 60.00 degrees
Fractional positions:
1 Be 0.413 0.413 0.250
2 Be 0.335 0.335 0.994
3 Be 0.924 0.413 0.250
4 Be 0.665 0.665 0.006
5 Be 0.500 0.500 0.500
6 Be 0.587 0.587 0.750
7 Ta 0.858 0.858 0.427
8 Be 0.076 0.587 0.750
9 Be 0.587 0.076 0.750
10 Zr 0.000 0.000 0.000
11 Ta 0.142 0.142 0.573
12 Be 0.413 0.924 0.250

## Properties
Theoretical density, g cm⁻³: 6.75
Magnetization, μB/cell: 0.00
Total DFT energy (no corrections), eV per cell: -68.85
E above lowest polymorph, kJ/mol of atoms: 0.0

Which formula does entry 2 have? ZrTa2Be9